11
Lattice="-0.532 4.720 -0.280 -4.723 -0.517 0.250 3.399 -1.017 16.823" Properties=species:S:1:pos:R:3 comment="Tb3Pr2Y6 | the Alexandria database | PBE | relaxed" rho_g_cm3=5.62 delta_e_f_ev_per_atom=0.275 dos_ef_per_ev_cell=17.8 spacegroup="I4/mmm (139)" volume_a3_per_atom=34.7 pbc="T T T"
Tb 0.000 0.000 0.000
Tb -2.163 2.753 10.087
Tb 0.308 0.433 6.706
Pr 0.701 0.986 15.272
Pr -2.557 2.200 1.521
Y -2.173 0.007 4.235
Y -0.077 2.625 3.970
Y 0.317 3.179 12.557
Y -1.778 0.561 12.823
Y -2.321 2.532 6.662
Y 0.465 0.654 10.130